(1)
This record from Alexandria via LeMat-Bulk describes a PBEsol-optimized structure of CaBPd2W. The functional is SCAN.

Computed properties:
Energy of formation from the pure elements, eV/atom: 2.878

The structure in POSCAR format:
```
CaBPd2W
1.0
4.512 0.000 0.000
0.000 4.512 0.000
0.000 0.000 5.011
W B Pd Ca
1 1 2 1
Direct
0.000 0.000 0.500
0.500 0.500 0.500
0.000 0.500 0.000
0.500 0.000 0.000
0.000 0.000 0.000
```

---

(2)
This record from Alexandria via LeMat-Bulk describes a PBEsol-optimized structure of LaCrRe2. The functional is SCAN.

Computed properties:
Energy of formation from the pure elements, eV/atom: 0.646
Energy above the most stable polymorph in this dataset, meV per atom: 160

The structure in POSCAR format:
```
LaCrRe2
1.0
2.867 0.000 0.000
0.000 4.815 0.000
-1.434 -2.408 4.870
Cr Re La
1 2 1
Direct
0.500 0.000 0.000
0.216 0.216 0.432
0.784 0.784 0.568
0.000 0.500 0.000
```

---

(3)
This record from Alexandria via LeMat-Bulk describes a PBEsol-optimized structure of KInFe2. The functional is SCAN.

Computed properties:
Energy of formation from the pure elements, eV/atom: 0.808

The structure in POSCAR format:
```
KInFe2
1.0
2.886 0.000 0.000
0.000 2.886 0.000
0.000 0.000 9.273
Fe In K
2 1 1
Direct
0.000 0.000 0.801
0.000 0.000 0.199
0.500 0.500 0.000
0.500 0.500 0.500
```

---

(4)
This record from Alexandria via LeMat-Bulk describes a PBEsol-optimized structure of LiIn2Hg. The functional is SCAN.

Computed properties:
Energy of formation from the pure elements, eV/atom: -0.195

The structure in POSCAR format:
```
LiIn2Hg
1.0
-3.264 0.373 -0.417
-0.037 -3.332 -2.696
-1.033 -3.788 4.696
In Li Hg
2 1 1
Direct
0.000 0.000 0.999
0.500 0.500 0.258
0.000 0.000 0.513
0.500 0.500 0.730
```

---

(5)
This record from Alexandria via LeMat-Bulk describes a PBEsol-optimized structure of CaTl2Ru. The functional is SCAN.

Computed properties:
Energy of formation from the pure elements, eV/atom: 0.095

The structure in POSCAR format:
```
CaTl2Ru
1.0
-2.462 -1.772 1.106
-1.510 -0.483 -4.135
5.659 -4.411 0.819
Tl Ru Ca
2 1 1
Direct
0.749 0.249 0.497
0.927 0.927 0.855
0.254 0.754 0.508
0.570 0.570 0.140
```

---

(6)
This record from Alexandria via LeMat-Bulk describes a PBEsol-optimized structure of BMo2S. The functional is SCAN.

Computed properties:
Formation energy (no corrections), eV per atom: 0.3914

The structure in POSCAR format:
```
BMo2S
1.0
5.037 0.000 0.000
0.000 5.037 0.000
-2.518 -2.518 4.997
S Mo B
2 4 2
Direct
0.250 0.750 0.500
0.000 0.000 0.000
0.125 0.163 0.750
0.837 0.375 0.250
0.413 0.875 0.250
0.625 0.587 0.750
0.500 0.500 0.000
0.750 0.250 0.500
```